Here is a relaxed structure of Ba3Cl from Alexandria. Energies are from PBE-GGA.

V (A^3/atom): 54.84
Uncorrected formation energy (kJ/mol of atoms): -76.4
Energy relative to the lowest polymorph listed for this composition (meV/atom): 60
E_tot (hartree per atom): -0.09907

```
Ba3Cl
1.0
-2.221 -5.727 -4.797
6.289 -5.271 3.381
-8.188 -4.156 8.754
Ba Cl
12 4
Cartesian
0.479 -7.527 4.838 Ba
0.600 -2.681 0.518 Ba
-7.598 -9.149 5.706 Ba
-1.721 -10.951 3.613 Ba
-3.554 -7.184 7.054 Ba
-4.599 -7.627 2.500 Ba
-0.409 -9.817 8.746 Ba
-2.399 -4.203 3.724 Ba
3.478 -6.005 1.632 Ba
-4.720 -12.473 6.819 Ba
-0.566 -7.970 0.283 Ba
-3.712 -5.337 -1.409 Ba
2.584 -5.221 4.535 Cl
-1.495 -4.995 0.826 Cl
-2.625 -10.159 6.511 Cl
-6.704 -9.933 2.803 Cl
```